La2CdP2PdO2: optimized geometry, PBE.

Geometry as CIF:
```
data_La2CdP2PdO2
_chemical_formula_sum 'La2 Cd1 P2 Pd1 O2'
_cell_length_a 4.1156
_cell_length_b 4.1156
_cell_length_c 8.8460
_cell_angle_alpha 90.00
_cell_angle_beta 90.00
_cell_angle_gamma 90.00
_symmetry_space_group_name_H-M 'P 1'
_symmetry_Int_Tables_number 1
_symmetry_space_group_name_Hall 'P 1'
loop_
_atom_site_label
_atom_site_fract_x
_atom_site_fract_y
_atom_site_fract_z
Cd1 0.0000 0.0000 0.5000
La1 0.0000 0.5000 0.1361
La2 0.5000 0.0000 0.8639
O1 0.0000 0.0000 0.0000
O2 0.5000 0.5000 0.0000
P1 0.5000 0.0000 0.3248
P2 0.0000 0.5000 0.6752
Pd1 0.5000 0.5000 0.5000
```

Summary:
Crystal system   tetragonal
Total energy   -6.372 eV per atom
M_tot   0.03 μB per cell



LaPrCd2Sb2O2: optimized geometry, PBE.

Geometry as CIF:
```
data_LaPrCd2Sb2O2
_chemical_formula_sum 'La1 Pr1 Cd2 Sb2 O2'
_cell_length_a 4.3314
_cell_length_b 4.3314
_cell_length_c 9.7472
_cell_angle_alpha 90.00
_cell_angle_beta 90.00
_cell_angle_gamma 90.00
_symmetry_space_group_name_H-M 'P 1'
_symmetry_Int_Tables_number 1
_symmetry_space_group_name_Hall 'P 1'
loop_
_atom_site_label
_atom_site_fract_x
_atom_site_fract_y
_atom_site_fract_z
Cd1 0.5000 0.0000 0.4996
Cd2 0.0000 0.5000 0.4996
La1 0.5000 0.5000 0.1119
O1 0.5000 0.0000 0.9998
O2 0.0000 0.5000 0.9998
Pr1 0.0000 0.0000 0.8878
Sb1 0.0000 0.0000 0.2991
Sb2 0.5000 0.5000 0.7024
```

Summary:
Crystal system   tetragonal
Total energy   -5.380 eV per atom
M_tot   0.00 μB per cell



LaCd3Pt4O12: optimized geometry, PBE.

Geometry as CIF:
```
data_LaCd3Pt4O12
_chemical_formula_sum 'La1 Cd3 Pt4 O12'
_cell_length_a 6.8048
_cell_length_b 6.8048
_cell_length_c 6.8048
_cell_angle_alpha 109.47
_cell_angle_beta 109.47
_cell_angle_gamma 109.47
_symmetry_space_group_name_H-M 'P 1'
_symmetry_Int_Tables_number 1
_symmetry_space_group_name_Hall 'P 1'
loop_
_atom_site_label
_atom_site_fract_x
_atom_site_fract_y
_atom_site_fract_z
Cd1 0.5000 0.5000 0.0000
Cd2 0.5000 0.0000 0.5000
Cd3 0.0000 0.5000 0.5000
La1 0.0000 0.0000 0.0000
O1 0.2870 0.8178 0.1048
O2 0.4692 0.2870 0.1822
O3 0.8952 0.7130 0.1822
O4 0.8178 0.1048 0.2870
O5 0.1822 0.4692 0.2870
O6 0.2870 0.1822 0.4692
O7 0.7130 0.8178 0.5308
O8 0.8178 0.5308 0.7130
O9 0.1822 0.8952 0.7130
O10 0.1048 0.2870 0.8178
O11 0.5308 0.7130 0.8178
O12 0.7130 0.1822 0.8952
Pt1 0.5000 0.0000 0.0000
Pt2 0.0000 0.5000 0.0000
Pt3 0.0000 0.0000 0.5000
Pt4 0.5000 0.5000 0.5000
```

Summary:
Crystal system   cubic
Total energy   -5.508 eV per atom
M_tot   0.01 μB per cell